Record 1
This record from Alexandria via LeMat-Bulk describes an optimized crystal structure of NaTlNF2. The functional is PBE-GGA.

E_form (uncorrected) (eV per atom): -0.73
Calculated total energy (eV per atom): -3.883
Relative energy among the computed polymorphs (eV per atom): 0.000
Magnetization (μB/atom): 0.205

Unit cell a=4.7077 b=4.7077 c=4.1034 alpha=90.00 beta=90.00 gamma=90.00
Atoms (fractional coordinates):
Na 0.0000 0.0000 0.0000
Tl 0.5000 0.5000 0.5000
N 0.5000 0.5000 0.0000
F 0.0000 0.5000 0.5000
F 0.5000 0.0000 0.5000

=====

Record 2
This record from Alexandria via LeMat-Bulk describes an optimized crystal structure of AlSb2AuI. The functional is PBE-GGA.

E_form (uncorrected) (eV per atom): 0.63
Calculated total energy (eV per atom): -2.737
Relative energy among the computed polymorphs (eV per atom): 0.000
Magnetization (μB/atom): 0.000

Unit cell a=5.3404 b=5.3404 c=5.3176 alpha=90.00 beta=90.00 gamma=90.00
Atoms (fractional coordinates):
Al 0.0000 0.0000 0.0000
Sb 0.0000 0.5000 0.0000
Sb 0.5000 0.0000 0.0000
Au 0.5000 0.5000 0.5000
I 0.0000 0.0000 0.5000